Material: Pr2AlCrO6
Method: DFT, PBE with a Hubbard U
State: relaxed

Computed properties:
V, A^3/atom: 11.59
Crystal system: monoclinic
Electronic total energy, eV/atom: -8.031

Unit cell a=5.4716 b=5.4796 c=9.4633 alpha=90.00 beta=125.20 gamma=90.00
Space group P2_1/c (No. 14)
Asymmetric unit:
1 Pr 0.2419 0.0314 0.2499 [4 per cell]
2 Al 0.0000 0.0000 0.5000 [2 per cell]
3 Cr 0.5000 0.0000 0.0000 [2 per cell]
4 O 0.1759 0.2266 0.9605 [4 per cell]
5 O 0.2331 0.7158 0.9613 [4 per cell]
6 O 0.3163 0.0125 0.7439 [4 per cell]